A plane-wave DFT calculation with PBE-GGA was carried out for a relaxed structure of Pr3B2Rh9Pb.

Values from the calculation:
- energy (eV/atom) = -6.970
- SG = P-3m1
- total magnetization (μB/f.u.) = 0.0
- V (Å³ per atom) = 18.23
- ΔH_f (0 K) (meV per atom) = -465
- DOS at the Fermi energy (states/eV per cell) = 16.9

Cell: 5.9264 5.9264 8.9885 Å, 90.00 90.00 120.00°
Positions (direct):
Pr: 0.0000 0.0000 0.0000
Pr: 0.3333 0.6667 0.6660
Pr: 0.6667 0.3333 0.3340
B: 0.3333 0.6667 0.1415
B: 0.6667 0.3333 0.8585
Rh: 0.0000 0.5000 0.0000
Rh: 0.1655 0.3311 0.2659
Rh: 0.1655 0.8345 0.2659
Rh: 0.3311 0.1655 0.7341
Rh: 0.5000 0.0000 0.0000
Rh: 0.5000 0.5000 0.0000
Rh: 0.6689 0.8345 0.2659
Rh: 0.8345 0.1655 0.7341
Rh: 0.8345 0.6689 0.7341
Pb: 0.0000 0.0000 0.5000



A plane-wave DFT calculation with PBE-GGA was carried out for a relaxed structure of Pr4B3Rh12Pb.

Values from the calculation:
- energy (eV/atom) = -7.003
- SG = Im-3m
- total magnetization (μB/f.u.) = 0.0
- V (Å³ per atom) = 17.55
- ΔH_f (0 K) (meV per atom) = -449
- DOS at the Fermi energy (states/eV per cell) = 18.5

Cell: 7.6973 7.6973 7.6973 Å, 109.47 109.47 109.47°
Positions (direct):
Pr: 0.0000 0.0000 0.5000
Pr: 0.0000 0.5000 0.0000
Pr: 0.5000 0.0000 0.0000
Pr: 0.5000 0.5000 0.5000
B: 0.0000 0.5000 0.5000
B: 0.5000 0.0000 0.5000
B: 0.5000 0.5000 0.0000
Rh: 0.0000 0.2839 0.2839
Rh: 0.0000 0.7161 0.7161
Rh: 0.2500 0.5000 0.7500
Rh: 0.2500 0.7500 0.5000
Rh: 0.2839 0.0000 0.2839
Rh: 0.2839 0.2839 0.0000
Rh: 0.5000 0.2500 0.7500
Rh: 0.5000 0.7500 0.2500
Rh: 0.7161 0.0000 0.7161
Rh: 0.7161 0.7161 0.0000
Rh: 0.7500 0.2500 0.5000
Rh: 0.7500 0.5000 0.2500
Pb: 0.0000 0.0000 0.0000



A plane-wave DFT calculation with PBE-GGA was carried out for a relaxed structure of BPtPb2.

Values from the calculation:
- energy (eV/atom) = -4.357
- SG = I-42d
- total magnetization (μB/f.u.) = 0.0
- V (Å³ per atom) = 24.93
- ΔH_f (0 K) (meV per atom) = 677
- DOS at the Fermi energy (states/eV per cell) = 10.3

Cell: 6.0654 6.0654 10.8440 Å, 90.00 90.00 90.00°
Positions (direct):
B: 0.0000 0.0000 0.0000
B: 0.0000 0.5000 0.2500
B: 0.5000 0.0000 0.7500
B: 0.5000 0.5000 0.5000
Pt: 0.0000 0.0000 0.5000
Pt: 0.0000 0.5000 0.7500
Pt: 0.5000 0.0000 0.2500
Pt: 0.5000 0.5000 0.0000
Pb: 0.1989 0.2500 0.1250
Pb: 0.2500 0.6989 0.3750
Pb: 0.2500 0.8011 0.8750
Pb: 0.3011 0.2500 0.6250
Pb: 0.6989 0.7500 0.6250
Pb: 0.7500 0.1989 0.8750
Pb: 0.7500 0.3011 0.3750
Pb: 0.8011 0.7500 0.1250



A plane-wave DFT calculation with PBE-GGA was carried out for a relaxed structure of BPt6Pb2.

Values from the calculation:
- energy (eV/atom) = -5.698
- SG = C2/m
- total magnetization (μB/f.u.) = 0.0
- V (Å³ per atom) = 17.95
- ΔH_f (0 K) (meV per atom) = -105
- DOS at the Fermi energy (states/eV per cell) = 3.9

Cell: 6.6202 6.6202 4.8317 Å, 103.76 103.76 52.29°
Positions (direct):
B: 0.0000 0.0000 0.0000
Pt: 0.1066 0.1066 0.4384
Pt: 0.1228 0.6262 0.0493
Pt: 0.3738 0.8772 0.9507
Pt: 0.6262 0.1228 0.0493
Pt: 0.8772 0.3738 0.9507
Pt: 0.8934 0.8934 0.5616
Pb: 0.3488 0.3488 0.5307
Pb: 0.6512 0.6512 0.4693



A plane-wave DFT calculation with PBE-GGA was carried out for a relaxed structure of B6Pt12Pb.

Values from the calculation:
- energy (eV/atom) = -6.262
- SG = R-3m
- total magnetization (μB/f.u.) = 0.0
- V (Å³ per atom) = 14.63
- ΔH_f (0 K) (meV per atom) = -143
- DOS at the Fermi energy (states/eV per cell) = 9.3

Cell: 6.8511 6.8511 6.8511 Å, 105.50 105.50 105.50°
Positions (direct):
B: 0.2245 0.2245 0.6117
B: 0.2245 0.6117 0.2245
B: 0.3883 0.7755 0.7755
B: 0.6117 0.2245 0.2245
B: 0.7755 0.3883 0.7755
B: 0.7755 0.7755 0.3883
Pt: 0.1257 0.5000 0.8743
Pt: 0.1257 0.8743 0.5000
Pt: 0.1829 0.4635 0.4635
Pt: 0.4635 0.1829 0.4635
Pt: 0.4635 0.4635 0.1829
Pt: 0.5000 0.1257 0.8743
Pt: 0.5000 0.8743 0.1257
Pt: 0.5365 0.5365 0.8171
Pt: 0.5365 0.8171 0.5365
Pt: 0.8171 0.5365 0.5365
Pt: 0.8743 0.1257 0.5000
Pt: 0.8743 0.5000 0.1257
Pb: 0.0000 0.0000 0.0000



A plane-wave DFT calculation with PBE-GGA was carried out for a relaxed structure of BPt4Pb.

Values from the calculation:
- energy (eV/atom) = -5.901
- SG = C2/c
- total magnetization (μB/f.u.) = 0.0
- V (Å³ per atom) = 16.42
- ΔH_f (0 K) (meV per atom) = -143
- DOS at the Fermi energy (states/eV per cell) = 5.1

Cell: 7.4013 7.4013 6.2219 Å, 103.07 103.07 36.53°
Positions (direct):
B: 0.0000 0.5000 0.0000
B: 0.5000 0.0000 0.5000
Pt: 0.0164 0.7848 0.0559
Pt: 0.1720 0.4214 0.3479
Pt: 0.2152 0.9836 0.4441
Pt: 0.4214 0.1720 0.8479
Pt: 0.5786 0.8280 0.1521
Pt: 0.7848 0.0164 0.5559
Pt: 0.8280 0.5786 0.6521
Pt: 0.9836 0.2152 0.9441
Pb: 0.3811 0.6189 0.7500
Pb: 0.6189 0.3811 0.2500



A plane-wave DFT calculation with PBE-GGA was carried out for a relaxed structure of BPtPb3.

Values from the calculation:
- energy (eV/atom) = -4.020
- E above lowest polymorph (meV/atom) = 0
- SG = Pm-3m
- total magnetization (μB/f.u.) = 0.0
- V (Å³ per atom) = 24.00
- ΔH_f (0 K) (meV per atom) = 749
- DOS at the Fermi energy (states/eV per cell) = 3.8

Cell: 4.9323 4.9323 4.9323 Å, 90.00 90.00 90.00°
Positions (direct):
B: 0.0000 0.0000 0.0000
Pt: 0.5000 0.5000 0.5000
Pb: 0.0000 0.0000 0.5000
Pb: 0.0000 0.5000 0.0000
Pb: 0.5000 0.0000 0.0000



A plane-wave DFT calculation with PBE-GGA was carried out for a relaxed structure of B2Pt9Pb3.

Values from the calculation:
- energy (eV/atom) = -5.787
- SG = P6_3/mmc
- total magnetization (μB/f.u.) = 0.0
- V (Å³ per atom) = 17.84
- ΔH_f (0 K) (meV per atom) = -155
- DOS at the Fermi energy (states/eV per cell) = 5.4

Cell: 5.6092 5.6092 18.3307 Å, 90.00 90.00 120.00°
Positions (direct):
B: 0.3333 0.6667 0.1667
B: 0.3333 0.6667 0.3333
B: 0.6667 0.3333 0.6667
B: 0.6667 0.3333 0.8333
Pt: 0.0007 0.5004 0.7500
Pt: 0.1649 0.3297 0.0915
Pt: 0.1649 0.3297 0.4085
Pt: 0.1649 0.8351 0.0915
Pt: 0.1649 0.8351 0.4085
Pt: 0.3297 0.1649 0.5915
Pt: 0.3297 0.1649 0.9085
Pt: 0.5004 0.0007 0.2500
Pt: 0.5004 0.4996 0.2500
Pt: 0.4996 0.5004 0.7500
Pt: 0.4996 0.9993 0.7500
Pt: 0.6703 0.8351 0.0915
Pt: 0.6703 0.8351 0.4085
Pt: 0.8351 0.1649 0.5915
Pt: 0.8351 0.1649 0.9085
Pt: 0.8351 0.6703 0.5915
Pt: 0.8351 0.6703 0.9085
Pt: 0.9993 0.4996 0.2500
Pb: 0.0000 0.0000 0.2500
Pb: 0.0000 0.0000 0.7500
Pb: 0.3333 0.6667 0.5516
Pb: 0.3333 0.6667 0.9484
Pb: 0.6667 0.3333 0.0516
Pb: 0.6667 0.3333 0.4484



A plane-wave DFT calculation with PBE-GGA was carried out for a relaxed structure of BPtPb3.

Values from the calculation:
- energy (eV/atom) = -3.700
- E above lowest polymorph (meV/atom) = 319
- SG = Pm-3m
- total magnetization (μB/f.u.) = 0.0
- V (Å³ per atom) = 31.44
- ΔH_f (0 K) (meV per atom) = 1069
- DOS at the Fermi energy (states/eV per cell) = 5.0

Cell: 5.3968 5.3968 5.3968 Å, 90.00 90.00 90.00°
Positions (direct):
B: 0.0000 0.0000 0.0000
Pt: 0.5000 0.5000 0.5000
Pb: 0.0000 0.5000 0.5000
Pb: 0.5000 0.0000 0.5000
Pb: 0.5000 0.5000 0.0000



A plane-wave DFT calculation with PBE-GGA was carried out for a relaxed structure of RbBPtPb2.

Values from the calculation:
- energy (eV/atom) = -3.845
- SG = P4/mmm
- total magnetization (μB/f.u.) = 0.0
- V (Å³ per atom) = 28.93
- ΔH_f (0 K) (meV per atom) = 376
- DOS at the Fermi energy (states/eV per cell) = 4.5

Cell: 5.9504 5.9504 4.0856 Å, 90.00 90.00 90.00°
Positions (direct):
Rb: 0.0000 0.0000 0.0000
B: 0.5000 0.5000 0.0000
Pt: 0.5000 0.5000 0.5000
Pb: 0.0000 0.5000 0.5000
Pb: 0.5000 0.0000 0.5000



A plane-wave DFT calculation with PBE-GGA was carried out for a relaxed structure of BPtRh2Pb.

Values from the calculation:
- energy (eV/atom) = -6.345
- SG = P4/mmm
- total magnetization (μB/f.u.) = 0.0
- V (Å³ per atom) = 15.43
- ΔH_f (0 K) (meV per atom) = -119
- DOS at the Fermi energy (states/eV per cell) = 3.5

Cell: 4.2605 4.2605 4.2500 Å, 90.00 90.00 90.00°
Positions (direct):
B: 0.0000 0.0000 0.0000
Pt: 0.0000 0.0000 0.5000
Rh: 0.0000 0.5000 0.0000
Rh: 0.5000 0.0000 0.0000
Pb: 0.5000 0.5000 0.5000



A plane-wave DFT calculation with PBE-GGA was carried out for a relaxed structure of BPt2RhPb.

Values from the calculation:
- energy (eV/atom) = -6.025
- SG = P4/mmm
- total magnetization (μB/f.u.) = 0.0
- V (Å³ per atom) = 16.10
- ΔH_f (0 K) (meV per atom) = -61
- DOS at the Fermi energy (states/eV per cell) = 4.8

Cell: 4.3382 4.3382 4.2783 Å, 90.00 90.00 90.00°
Positions (direct):
B: 0.0000 0.0000 0.0000
Pt: 0.0000 0.5000 0.0000
Pt: 0.5000 0.0000 0.0000
Rh: 0.0000 0.0000 0.5000
Pb: 0.5000 0.5000 0.5000



A plane-wave DFT calculation with PBE-GGA was carried out for a relaxed structure of TaBPtPb2.

Values from the calculation:
- energy (eV/atom) = -5.178
- SG = P4/mmm
- total magnetization (μB/f.u.) = 0.0
- V (Å³ per atom) = 25.48
- ΔH_f (0 K) (meV per atom) = 1220
- DOS at the Fermi energy (states/eV per cell) = 5.2

Cell: 5.5203 5.5203 4.1800 Å, 90.00 90.00 90.00°
Positions (direct):
Ta: 0.0000 0.0000 0.0000
B: 0.0000 0.0000 0.5000
Pt: 0.5000 0.5000 0.5000
Pb: 0.0000 0.5000 0.0000
Pb: 0.5000 0.0000 0.0000



A plane-wave DFT calculation with PBE-GGA was carried out for a relaxed structure of TbB2Pt7Pb2.

Values from the calculation:
- energy (eV/atom) = -6.121
- SG = C2/m
- total magnetization (μB/f.u.) = 0.0
- V (Å³ per atom) = 18.00
- ΔH_f (0 K) (meV per atom) = -481
- DOS at the Fermi energy (states/eV per cell) = 4.1

Cell: 4.0349 4.0349 13.2913 Å, 92.49 92.49 89.99°
Positions (direct):
Tb: 0.0000 0.0000 0.0000
B: 0.4647 0.4647 0.7773
B: 0.5353 0.5353 0.2227
Pt: 0.0332 0.5314 0.1647
Pt: 0.2701 0.2701 0.6409
Pt: 0.4686 0.9668 0.8353
Pt: 0.5000 0.5000 0.0000
Pt: 0.5314 0.0332 0.1647
Pt: 0.7299 0.7299 0.3591
Pt: 0.9668 0.4686 0.8353
Pb: 0.2409 0.2409 0.4116
Pb: 0.7591 0.7591 0.5884



A plane-wave DFT calculation with PBE-GGA was carried out for a relaxed structure of TlBPt3Pb.

Values from the calculation:
- energy (eV/atom) = -5.238
- SG = C2/c
- total magnetization (μB/f.u.) = 0.0
- V (Å³ per atom) = 19.48
- ΔH_f (0 K) (meV per atom) = -93
- DOS at the Fermi energy (states/eV per cell) = 4.6

Cell: 7.5583 7.5583 5.6643 Å, 97.67 97.67 130.36°
Positions (direct):
Tl: 0.0848 0.9152 0.7500
Tl: 0.9152 0.0848 0.2500
B: 0.4446 0.5554 0.7500
B: 0.5554 0.4446 0.2500
Pt: 0.2657 0.3852 0.0105
Pt: 0.2943 0.7057 0.7500
Pt: 0.3852 0.2657 0.5105
Pt: 0.6148 0.7343 0.4895
Pt: 0.7057 0.2943 0.2500
Pt: 0.7343 0.6148 0.9895
Pb: 0.2348 0.7652 0.2500
Pb: 0.7652 0.2348 0.7500



A plane-wave DFT calculation with PBE-GGA was carried out for a relaxed structure of RbBPb3.

Values from the calculation:
- energy (eV/atom) = -1.714
- E above lowest polymorph (meV/atom) = 1478
- SG = Pm-3m
- total magnetization (μB/f.u.) = 0.0
- V (Å³ per atom) = 47.64
- ΔH_f (0 K) (meV per atom) = 2040
- DOS at the Fermi energy (states/eV per cell) = 4.4

Cell: 6.1988 6.1988 6.1988 Å, 90.00 90.00 90.00°
Positions (direct):
Rb: 0.0000 0.0000 0.0000
B: 0.5000 0.5000 0.5000
Pb: 0.0000 0.0000 0.5000
Pb: 0.0000 0.5000 0.0000
Pb: 0.5000 0.0000 0.0000



A plane-wave DFT calculation with PBE-GGA was carried out for a relaxed structure of RbB3Pb.

Values from the calculation:
- energy (eV/atom) = -2.774
- E above lowest polymorph (meV/atom) = 0
- SG = Pm-3m
- total magnetization (μB/f.u.) = 0.0
- V (Å³ per atom) = 24.64
- ΔH_f (0 K) (meV per atom) = 2167
- DOS at the Fermi energy (states/eV per cell) = 4.5

Cell: 4.9762 4.9762 4.9762 Å, 90.00 90.00 90.00°
Positions (direct):
Rb: 0.0000 0.0000 0.0000
B: 0.0000 0.5000 0.5000
B: 0.5000 0.0000 0.5000
B: 0.5000 0.5000 0.0000
Pb: 0.5000 0.5000 0.5000



A plane-wave DFT calculation with PBE-GGA was carried out for a relaxed structure of RbBPb2.

Values from the calculation:
- energy (eV/atom) = -3.124
- SG = I-42d
- total magnetization (μB/f.u.) = 0.0
- V (Å³ per atom) = 36.54
- ΔH_f (0 K) (meV per atom) = 642
- DOS at the Fermi energy (states/eV per cell) = 4.6

Cell: 7.4050 7.4050 10.6629 Å, 90.00 90.00 90.00°
Positions (direct):
Rb: 0.0000 0.0000 0.0000
Rb: 0.0000 0.5000 0.2500
Rb: 0.5000 0.0000 0.7500
Rb: 0.5000 0.5000 0.5000
B: 0.0000 0.0000 0.5000
B: 0.0000 0.5000 0.7500
B: 0.5000 0.0000 0.2500
B: 0.5000 0.5000 0.0000
Pb: 0.0992 0.2500 0.6250
Pb: 0.2500 0.5992 0.8750
Pb: 0.2500 0.9008 0.3750
Pb: 0.4008 0.2500 0.1250
Pb: 0.5992 0.7500 0.1250
Pb: 0.7500 0.0992 0.3750
Pb: 0.7500 0.4008 0.8750
Pb: 0.9008 0.7500 0.6250



A plane-wave DFT calculation with PBE-GGA was carried out for a relaxed structure of RbB2Pb.

Values from the calculation:
- energy (eV/atom) = -3.107
- SG = I4_1/amd
- total magnetization (μB/f.u.) = 0.0
- V (Å³ per atom) = 24.83
- ΔH_f (0 K) (meV per atom) = 1400
- DOS at the Fermi energy (states/eV per cell) = 6.9

Cell: 4.9186 4.9186 16.4220 Å, 90.00 90.00 90.00°
Positions (direct):
Rb: 0.0000 0.2500 0.3750
Rb: 0.0000 0.7500 0.6250
Rb: 0.5000 0.2500 0.1250
Rb: 0.5000 0.7500 0.8750
B: 0.0000 0.0000 0.0000
B: 0.0000 0.5000 0.0000
B: 0.2500 0.2500 0.7500
B: 0.2500 0.7500 0.2500
B: 0.5000 0.0000 0.5000
B: 0.5000 0.5000 0.5000
B: 0.7500 0.2500 0.7500
B: 0.7500 0.7500 0.2500
Pb: 0.0000 0.2500 0.8750
Pb: 0.0000 0.7500 0.1250
Pb: 0.5000 0.2500 0.6250
Pb: 0.5000 0.7500 0.3750



A plane-wave DFT calculation with PBE-GGA was carried out for a relaxed structure of RbB3Pb.

Values from the calculation:
- energy (eV/atom) = -1.880
- E above lowest polymorph (meV/atom) = 895
- SG = Pm-3m
- total magnetization (μB/f.u.) = 0.6
- V (Å³ per atom) = 24.69
- ΔH_f (0 K) (meV per atom) = 3062
- DOS at the Fermi energy (states/eV per cell) = 4.5

Cell: 4.9790 4.9790 4.9790 Å, 90.00 90.00 90.00°
Positions (direct):
Rb: 0.0000 0.0000 0.0000
B: 0.0000 0.0000 0.5000
B: 0.0000 0.5000 0.0000
B: 0.5000 0.0000 0.0000
Pb: 0.5000 0.5000 0.5000



A plane-wave DFT calculation with PBE-GGA was carried out for a relaxed structure of RbBPb3.

Values from the calculation:
- energy (eV/atom) = -3.192
- E above lowest polymorph (meV/atom) = 0
- SG = Pm-3m
- total magnetization (μB/f.u.) = 0.0
- V (Å³ per atom) = 30.89
- ΔH_f (0 K) (meV per atom) = 562
- DOS at the Fermi energy (states/eV per cell) = 1.9

Cell: 5.3652 5.3652 5.3652 Å, 90.00 90.00 90.00°
Positions (direct):
Rb: 0.0000 0.0000 0.0000
B: 0.5000 0.5000 0.5000
Pb: 0.0000 0.5000 0.5000
Pb: 0.5000 0.0000 0.5000
Pb: 0.5000 0.5000 0.0000



A plane-wave DFT calculation with PBE-GGA was carried out for a relaxed structure of RbBRhPb2.

Values from the calculation:
- energy (eV/atom) = -3.326
- SG = P4/mmm
- total magnetization (μB/f.u.) = 0.3
- V (Å³ per atom) = 26.33
- ΔH_f (0 K) (meV per atom) = 1156
- DOS at the Fermi energy (states/eV per cell) = 5.8

Cell: 4.9129 4.9129 5.4538 Å, 90.00 90.00 90.00°
Positions (direct):
Rb: 0.0000 0.0000 0.0000
B: 0.0000 0.0000 0.5000
Rh: 0.5000 0.5000 0.0000
Pb: 0.0000 0.5000 0.5000
Pb: 0.5000 0.0000 0.5000



A plane-wave DFT calculation with PBE-GGA was carried out for a relaxed structure of Rb2B2PbS6.

Values from the calculation:
- energy (eV/atom) = -4.548
- SG = C2/m
- total magnetization (μB/f.u.) = 0.0
- V (Å³ per atom) = 27.98
- energy relative to the elements, uncorrected (eV/atom) = -0.570
- DOS at the Fermi energy (states/eV per cell) = 3.2

Cell: 6.5185 6.5185 8.9268 Å, 108.95 108.95 61.17°
Positions (direct):
Rb: 0.1882 0.1882 0.1354
Rb: 0.8118 0.8118 0.8646
B: 0.4451 0.4451 0.6842
B: 0.5549 0.5549 0.3158
Pb: 0.0000 0.0000 0.5000
S: 0.2371 0.7045 0.2381
S: 0.2822 0.2822 0.5327
S: 0.2955 0.7629 0.7619
S: 0.7045 0.2371 0.2381
S: 0.7178 0.7178 0.4673
S: 0.7629 0.2955 0.7619